The following is a GGA-PBE calculation of a relaxed Pm3OsI crystal, from the Alexandria database.

Calculated density, g/cm³: 7.6
Fermi-level density of states, states/eV/f.u.: 2.23
E_form (uncorrected), meV/atom: -415

Unit cell a=3.9691 b=9.4430 c=8.7697 alpha=90.00 beta=90.00 gamma=90.00
With the nearest neighbours (Å) after each atom.
Sites, in units of the cell vectors:
Os 0.7500 0.2500 0.9735  6 Pm 2.76-3.00
I 0.2500 0.7500 0.5667  6 Pm 3.45-3.63
Pm 0.7500 0.9273 0.8553  3 Os 3.00-3.22, 1 Pm 3.35
Pm 0.7500 0.7500 0.2447  2 Os 2.76
Pm 0.2500 0.0727 0.1447  3 Os 3.00-3.22, 1 Pm 3.35
Pm 0.2500 0.2500 0.7553  2 Os 2.76
Os 0.2500 0.7500 0.0265  6 Pm 2.76-3.00
Pm 0.2500 0.4273 0.1447  3 Os 3.00-3.22, 1 Pm 3.35
I 0.7500 0.2500 0.4333  6 Pm 3.45-3.63
Pm 0.7500 0.5727 0.8553  3 Os 3.00-3.22, 1 Pm 3.35